Material: Tm2LuC
Method: DFT, GGA-PBE
State: optimized geometry

Computed properties:
DOS at the Fermi energy, states/eV per atom: 0.9825
Total magnetization, Bohr magnetons per cell: 0.66
Total energy, eV per atom: -5.771

Cell lengths 3.4836, 3.4836, 9.5738 Å; angles 79.52, 79.52, 60.00 degrees
With the nearest neighbours (Å) after each atom.
Sites, in units of the cell vectors:
C (0.5000, 0.5000, 0.5000)  6 Tm 2.40
Lu (0.0000, 0.0000, 0.0000)  2 Tm 3.36, 6 Lu 3.48
Tm (0.1198, 0.1198, 0.6407)  3 C 2.40
Tm (0.8802, 0.8802, 0.3593)  3 C 2.40



Material: RbLi4Cd8
Method: DFT, GGA-PBE
State: optimized geometry

Computed properties:
DOS at the Fermi energy, states/eV per atom: 0.5444
Total magnetization, Bohr magnetons per cell: 0.00
Total energy, eV per atom: -1.356

Cell lengths 5.5606, 7.8091, 7.8091 Å; angles 82.72, 69.14, 69.14 degrees
With the nearest neighbours (Å) after each atom.
Sites, in units of the cell vectors:
Rb (0.0000, 0.0000, 0.0000)  12 Cd 3.62-3.65, 8 Li 3.90
Li (0.0000, 0.0000, 0.5000)  2 Li 2.78, 4 Cd 2.94
Li (0.5000, 0.0000, 0.5000)  2 Li 2.78, 4 Cd 2.94
Li (0.0000, 0.5000, 0.0000)  2 Li 2.78, 4 Cd 2.94
Li (0.5000, 0.5000, 0.0000)  2 Li 2.78, 4 Cd 2.94
Cd (0.0000, 0.3532, 0.6468)  5 Cd 3.03-3.22, 4 Li 3.12
Cd (0.0000, 0.6468, 0.3532)  5 Cd 3.03-3.22, 4 Li 3.12
Cd (0.3532, 0.6468, 0.6468)  5 Cd 3.03-3.22, 4 Li 3.12
Cd (0.6468, 0.3532, 0.3532)  5 Cd 3.03-3.22, 4 Li 3.12
Cd (0.5000, 0.7756, 0.2244)  4 Li 2.94, 6 Cd 3.08-3.28
Cd (0.5000, 0.2244, 0.7756)  4 Li 2.94, 6 Cd 3.08-3.28
Cd (0.2756, 0.2244, 0.2244)  4 Li 2.94, 6 Cd 3.08-3.28
Cd (0.7244, 0.7756, 0.7756)  4 Li 2.94, 6 Cd 3.08-3.28



Material: Pr2InI
Method: DFT, GGA-PBE
State: optimized geometry

Computed properties:
DOS at the Fermi energy, states/eV per atom: 0.4703
Total magnetization, Bohr magnetons per cell: 0.00
Uncorrected formation energy, eV per atom: -0.6641

Cell lengths 3.9903, 3.9903, 9.7474 Å; angles 78.19, 78.19, 60.00 degrees
With the nearest neighbours (Å) after each atom.
Sites, in units of the cell vectors:
Pr (0.0811, 0.0811, 0.7568)  3 In 3.26, 3 I 3.34
Pr (0.2525, 0.2525, 0.2426)  3 In 3.26, 3 I 3.36
In (0.6668, 0.6668, 0.9997)  6 Pr 3.26
I (0.4997, 0.4997, 0.5009)  6 Pr 3.34-3.36



Material: LiNdScTc
Method: DFT, GGA-PBE
State: optimized geometry

Computed properties:
DOS at the Fermi energy, states/eV per atom: 1.1029
Total magnetization, Bohr magnetons per cell: 0.00
Total energy, eV per atom: -5.825

Cell lengths 4.8712, 4.8712, 4.8712 Å; angles 60.00, 60.00, 60.00 degrees
With the nearest neighbours (Å) after each atom.
Sites, in units of the cell vectors:
Sc (0.0000, 0.0000, 0.0000)  4 Tc 2.98, 4 Li 2.98
Nd (0.5000, 0.5000, 0.5000)  4 Li 2.98, 4 Tc 2.98
Tc (0.7500, 0.7500, 0.7500)  4 Sc 2.98, 4 Nd 2.98
Li (0.2500, 0.2500, 0.2500)  4 Sc 2.98, 4 Nd 2.98



Material: Sm3MgTl
Method: DFT, GGA-PBE
State: optimized geometry

Computed properties:
DOS at the Fermi energy, states/eV per atom: 1.0745
Total magnetization, Bohr magnetons per cell: 0.00
Total energy, eV per atom: -3.781

Cell lengths 6.8667, 9.3219, 9.8269 Å; angles 74.71, 90.00, 90.00 degrees
With the nearest neighbours (Å) after each atom.
Sites, in units of the cell vectors:
Sm (0.9971, 0.8024, 0.2994)  2 Tl 3.30, 5 Sm 3.39-3.66, 4 Mg 3.43-3.54
Sm (0.0029, 0.1976, 0.7006)  2 Tl 3.30, 5 Sm 3.39-3.66, 4 Mg 3.43-3.54
Sm (0.4971, 0.1976, 0.2006)  2 Tl 3.30, 5 Sm 3.39-3.66, 4 Mg 3.43-3.54
Sm (0.5029, 0.8024, 0.7994)  2 Tl 3.30, 5 Sm 3.39-3.66, 4 Mg 3.43-3.54
Sm (0.5029, 0.8024, 0.2995)  2 Tl 3.30, 5 Sm 3.39-3.66, 4 Mg 3.43-3.54
Sm (0.4971, 0.1976, 0.7005)  2 Tl 3.30, 5 Sm 3.39-3.66, 4 Mg 3.43-3.54
Sm (0.0029, 0.1976, 0.2005)  2 Tl 3.30, 5 Sm 3.39-3.66, 4 Mg 3.43-3.54
Sm (0.9971, 0.8024, 0.7995)  2 Tl 3.30, 5 Sm 3.39-3.66, 4 Mg 3.43-3.54
Sm (0.2500, 0.5711, 0.6072)  4 Tl 3.14-3.50
Sm (0.7500, 0.4289, 0.3928)  4 Tl 3.14-3.50
Sm (0.7500, 0.4289, 0.8928)  4 Tl 3.14-3.50
Sm (0.2500, 0.5711, 0.1072)  4 Tl 3.14-3.50
Mg (0.2499, 0.9866, 0.5029)  1 Tl 3.30, 8 Sm 3.43-3.54, 2 Mg 3.44
Mg (0.7501, 0.0134, 0.4971)  1 Tl 3.30, 8 Sm 3.43-3.54, 2 Mg 3.44
Mg (0.7499, 0.0134, 0.9971)  1 Tl 3.30, 8 Sm 3.43-3.54, 2 Mg 3.44
Mg (0.2501, 0.9866, 0.0029)  1 Tl 3.30, 8 Sm 3.43-3.54, 2 Mg 3.44
Tl (0.7500, 0.6467, 0.0883)  8 Sm 3.14-3.50, 1 Mg 3.30
Tl (0.2500, 0.3533, 0.9117)  8 Sm 3.14-3.50, 1 Mg 3.30
Tl (0.2500, 0.3533, 0.4117)  8 Sm 3.14-3.50, 1 Mg 3.30
Tl (0.7500, 0.6467, 0.5883)  8 Sm 3.14-3.50, 1 Mg 3.30



Material: KBaGaH6
Method: DFT, GGA-PBE
State: optimized geometry

Computed properties:
Total magnetization, Bohr magnetons per cell: 0.00
Total energy, eV per atom: -2.999

Cell lengths 5.8012, 5.8012, 5.0495 Å; angles 90.00, 90.00, 59.99 degrees
With the nearest neighbours (Å) after each atom.
Sites, in units of the cell vectors:
K (0.6666, 0.6666, 0.5000)  6 H 2.48
Ba (0.9999, 0.0000, 0.0000)  6 H 2.64
Ga (0.3333, 0.3333, 0.5000)  6 H 1.79
H (0.0877, 0.3251, 0.2917)  1 Ga 1.79
H (0.3251, 0.0877, 0.7082)  1 Ga 1.79
H (0.5871, 0.3253, 0.7082)  1 Ga 1.79
H (0.0875, 0.5873, 0.7080)  1 Ga 1.79
H (0.3252, 0.5871, 0.2917)  1 Ga 1.79
H (0.5873, 0.0876, 0.2920)  1 Ga 1.79



Material: Pr4Pu
Method: DFT, GGA-PBE
State: optimized geometry

Computed properties:
DOS at the Fermi energy, states/eV per atom: 1.3414
Total magnetization, Bohr magnetons per cell: 7.20
Total energy, eV per atom: -6.229

Cell lengths 5.7875, 5.7875, 5.7875 Å; angles 90.00, 90.00, 90.00 degrees
With the nearest neighbours (Å) after each atom.
Sites, in units of the cell vectors:
Pr (0.0000, 0.0000, 0.0000)  12 Pr 4.09
Pr (0.5000, 0.0000, 0.5000)  2 Pu 2.89
Pr (0.0000, 0.5000, 0.5000)  2 Pu 2.89
Pr (0.5000, 0.5000, 0.0000)  2 Pu 2.89
Pu (0.5000, 0.5000, 0.5000)  6 Pr 2.89



Material: U3Sn
Method: DFT, GGA-PBE
State: optimized geometry

Computed properties:
DOS at the Fermi energy, states/eV per atom: 2.6927
Total magnetization, Bohr magnetons per cell: 1.04
Total energy, eV per atom: -9.359

Cell lengths 4.4727, 4.4727, 5.4057 Å; angles 114.44, 114.44, 90.00 degrees
With the nearest neighbours (Å) after each atom.
Sites, in units of the cell vectors:
U (0.7500, 0.2500, 0.5000)  4 Sn 3.13, 8 U 3.13-3.16
U (0.2500, 0.7500, 0.5000)  4 Sn 3.13, 8 U 3.13-3.16
U (0.5000, 0.5000, 0.0000)  8 U 3.13, 4 Sn 3.16
Sn (0.0000, 0.0000, 0.0000)  12 U 3.13-3.16



Material: BaRe2Hg
Method: DFT, GGA-PBE
State: optimized geometry

Computed properties:
DOS at the Fermi energy, states/eV per atom: 1.4364
Total magnetization, Bohr magnetons per cell: 0.00
Total energy, eV per atom: -5.162

Cell lengths 6.0766, 6.0766, 6.0766 Å; angles 140.19, 140.19, 57.57 degrees
With the nearest neighbours (Å) after each atom.
Sites, in units of the cell vectors:
Re (0.0000, 0.0000, 0.0000)  4 Re 2.93
Re (0.5000, 0.5000, 0.0000)  4 Re 2.93
Hg (0.7500, 0.2500, 0.5000)  4 Ba 2.93
Ba (0.2500, 0.7500, 0.5000)  4 Hg 2.93



Material: AcSmInRu
Method: DFT, GGA-PBE
State: optimized geometry

Computed properties:
DOS at the Fermi energy, states/eV per atom: 0.7383
Total magnetization, Bohr magnetons per cell: 0.00
Total energy, eV per atom: -5.330

Cell lengths 5.3454, 5.3454, 5.3454 Å; angles 60.00, 60.00, 60.00 degrees
With the nearest neighbours (Å) after each atom.
Sites, in units of the cell vectors:
Ru (0.0000, 0.0000, 0.0000)  4 Ac 3.27, 4 Sm 3.27
Ac (0.2500, 0.2500, 0.2500)  4 In 3.27, 4 Ru 3.27
Sm (0.7500, 0.7500, 0.7500)  4 In 3.27, 4 Ru 3.27
In (0.5000, 0.5000, 0.5000)  4 Sm 3.27, 4 Ac 3.27



Material: AlTlO2
Method: DFT, GGA-PBE
State: optimized geometry

Computed properties:
DOS at the Fermi energy, states/eV per atom: 0.0000
Total magnetization, Bohr magnetons per cell: 0.00
Uncorrected formation energy, eV per atom: -1.8238

Cell lengths 8.1952, 8.1952, 8.1952 Å; angles 22.32, 22.32, 22.32 degrees
With the nearest neighbours (Å) after each atom.
Sites, in units of the cell vectors:
Tl (0.4874, 0.4874, 0.4874)  3 O 2.43
Al (0.0159, 0.0159, 0.0159)  4 O 1.71-1.91
O (0.0873, 0.0873, 0.0873)  1 Al 1.71
O (0.6604, 0.6604, 0.6604)  3 Al 1.91



Material: NbInSn2
Method: DFT, GGA-PBE
State: optimized geometry

Computed properties:
DOS at the Fermi energy, states/eV per atom: 0.4519
Total magnetization, Bohr magnetons per cell: 0.00
Total energy, eV per atom: -5.198

Cell lengths 3.0469, 4.8327, 7.4244 Å; angles 108.93, 90.01, 90.00 degrees
With the nearest neighbours (Å) after each atom.
Sites, in units of the cell vectors:
Nb (0.0871, 0.3867, 0.2666)  6 Sn 2.86-2.97, 2 In 3.04, 2 Nb 3.05
In (0.5878, 0.5734, 0.6408)  2 Nb 3.04, 2 Sn 3.04, 2 In 3.05
Sn (0.5868, 0.2047, 0.9036)  2 Nb 2.97, 2 In 3.04, 2 Sn 3.05
Sn (0.5871, 0.8937, 0.2806)  4 Nb 2.86, 2 Sn 3.05



Material: Cs2CuAsS4
Method: DFT, GGA-PBE
State: optimized geometry

Computed properties:
Total magnetization, Bohr magnetons per cell: 0.00
Uncorrected formation energy, eV per atom: -0.6352

Cell lengths 6.0271, 7.5315, 12.7524 Å; angles 84.57, 76.33, 66.41 degrees
With the nearest neighbours (Å) after each atom.
Sites, in units of the cell vectors:
Cs (0.1772, 0.0000, 0.6456)  8 S 3.68-3.89
Cs (0.8228, 0.0000, 0.3544)  8 S 3.68-3.89
Cs (0.5728, 0.5000, 0.8544)  8 S 3.68-3.89
Cs (0.9272, 0.5000, 0.1456)  8 S 3.68-3.89
Cu (0.7500, 0.5000, 0.5000)  4 S 2.38
Cu (0.0000, 0.0000, 0.0000)  4 S 2.38
As (0.2500, 0.5000, 0.5000)  4 S 2.20
As (0.5000, 0.0000, 0.0000)  4 S 2.20
S (0.3139, 0.8198, 0.0963)  1 As 2.20, 1 Cu 2.38
S (0.2300, 0.1802, 0.9037)  1 As 2.20, 1 Cu 2.38
S (0.8663, 0.8198, 0.9037)  1 As 2.20, 1 Cu 2.38
S (0.5898, 0.1802, 0.0963)  1 As 2.20, 1 Cu 2.38
S (0.4361, 0.6802, 0.4037)  1 As 2.20, 1 Cu 2.38
S (0.5200, 0.3198, 0.5963)  1 As 2.20, 1 Cu 2.38
S (0.8837, 0.6802, 0.5963)  1 As 2.20, 1 Cu 2.38
S (0.1602, 0.3198, 0.4037)  1 As 2.20, 1 Cu 2.38



Material: Zn2CuRu
Method: DFT, GGA-PBE
State: optimized geometry

Computed properties:
DOS at the Fermi energy, states/eV per atom: 0.6028
Total magnetization, Bohr magnetons per cell: 0.00
Total energy, eV per atom: -3.994

Cell lengths 8.6861, 8.6861, 8.6861 Å; angles 17.98, 17.98, 17.98 degrees
With the nearest neighbours (Å) after each atom.
Sites, in units of the cell vectors:
Cu (0.2500, 0.2500, 0.2500)  6 Zn 2.62, 6 Cu 2.72
Ru (0.7500, 0.7500, 0.7500)  6 Zn 2.68, 6 Ru 2.72
Zn (0.9984, 0.9984, 0.9984)  3 Cu 2.62, 3 Ru 2.68, 6 Zn 2.72
Zn (0.5016, 0.5016, 0.5016)  3 Cu 2.62, 3 Ru 2.68, 6 Zn 2.72



Material: DyYIn
Method: DFT, GGA-PBE
State: optimized geometry

Computed properties:
DOS at the Fermi energy, states/eV per atom: 1.4131
Total magnetization, Bohr magnetons per cell: 0.81
Total energy, eV per atom: -4.894

Cell lengths 4.6036, 4.6036, 8.3844 Å; angles 90.00, 90.00, 90.00 degrees
With the nearest neighbours (Å) after each atom.
Sites, in units of the cell vectors:
Dy (0.7500, 0.7500, 0.0000)  4 In 3.23, 4 Dy 3.25-3.26
Dy (0.2500, 0.2500, 0.0000)  4 In 3.23, 4 Dy 3.25-3.26
Y (0.7499, 0.2501, 0.3537)  5 In 3.15-3.33
Y (0.2501, 0.7499, 0.6463)  5 In 3.15-3.33
In (0.2499, 0.7501, 0.2711)  5 Y 3.15-3.33, 4 Dy 3.23
In (0.7501, 0.2499, 0.7289)  5 Y 3.15-3.33, 4 Dy 3.23



Material: HfMg3Cd4
Method: DFT, GGA-PBE
State: optimized geometry

Computed properties:
DOS at the Fermi energy, states/eV per atom: 0.2911
Total magnetization, Bohr magnetons per cell: 0.00
Total energy, eV per atom: -2.374

Cell lengths 3.2148, 3.2148, 16.4570 Å; angles 90.00, 90.00, 90.00 degrees
With the nearest neighbours (Å) after each atom.
Sites, in units of the cell vectors:
Mg (0.5000, 0.5000, 0.2499)  8 Cd 3.04-3.07, 4 Mg 3.21
Mg (0.5000, 0.5000, 0.5000)  8 Cd 3.07, 4 Mg 3.21
Mg (0.5000, 0.5000, 0.7501)  8 Cd 3.04-3.07, 4 Mg 3.21
Hf (0.5000, 0.5000, 0.0000)  8 Cd 3.09, 4 Hf 3.21
Cd (0.0000, 0.0000, 0.8728)  4 Mg 3.04, 4 Hf 3.09, 4 Cd 3.21
Cd (0.0000, 0.0000, 0.1272)  4 Mg 3.04, 4 Hf 3.09, 4 Cd 3.21
Cd (0.0000, 0.0000, 0.3749)  8 Mg 3.07, 4 Cd 3.21
Cd (0.0000, 0.0000, 0.6251)  8 Mg 3.07, 4 Cd 3.21



Material: YTm3Ir2
Method: DFT, GGA-PBE
State: optimized geometry

Computed properties:
DOS at the Fermi energy, states/eV per atom: 0.7822
Total magnetization, Bohr magnetons per cell: 0.00
Total energy, eV per atom: -6.944

Cell lengths 6.6853, 6.9749, 8.2994 Å; angles 114.85, 113.75, 90.00 degrees
With the nearest neighbours (Å) after each atom.
Sites, in units of the cell vectors:
Y (0.0000, 0.5000, 0.0000)  2 Ir 2.70
Y (0.0000, 0.0000, 0.0000)  2 Ir 2.70
Tm (0.5000, 0.2500, 0.0000)  4 Ir 2.92
Tm (0.5000, 0.7500, 0.0000)  4 Ir 2.92
Tm (0.7655, 0.0155, 0.5309)  4 Ir 2.82-2.91
Tm (0.2345, 0.4845, 0.4691)  4 Ir 2.82-2.91
Tm (0.2345, 0.9845, 0.4691)  4 Ir 2.82-2.91
Tm (0.7655, 0.5155, 0.5309)  4 Ir 2.82-2.91
Ir (0.5715, 0.3609, 0.7218)  1 Y 2.70, 6 Tm 2.82-2.92
Ir (0.8497, 0.1391, 0.2782)  1 Y 2.70, 6 Tm 2.82-2.92
Ir (0.1503, 0.8609, 0.7218)  1 Y 2.70, 6 Tm 2.82-2.92
Ir (0.4285, 0.6391, 0.2782)  1 Y 2.70, 6 Tm 2.82-2.92



Material: Ni3Te4
Method: DFT, GGA-PBE
State: optimized geometry

Computed properties:
DOS at the Fermi energy, states/eV per atom: 0.5113
Total magnetization, Bohr magnetons per cell: 0.00
Uncorrected formation energy, eV per atom: -0.1736

Cell lengths 3.8827, 3.8827, 11.7041 Å; angles 81.32, 81.32, 59.57 degrees
With the nearest neighbours (Å) after each atom.
Sites, in units of the cell vectors:
Ni (0.6507, 0.6507, 0.0473)  3 Ni 2.48-2.49, 3 Te 2.51-2.52
Ni (0.5000, 0.5000, 0.5000)  6 Te 2.59
Ni (0.3493, 0.3493, 0.9527)  3 Ni 2.48-2.49, 3 Te 2.51-2.52
Te (0.9517, 0.9517, 0.1473)  3 Ni 2.51-2.52
Te (0.0483, 0.0483, 0.8527)  3 Ni 2.51-2.52
Te (0.7981, 0.7981, 0.6130)  3 Ni 2.59
Te (0.2019, 0.2019, 0.3870)  3 Ni 2.59



Material: RbCd5
Method: DFT, GGA-PBE
State: optimized geometry

Computed properties:
DOS at the Fermi energy, states/eV per atom: 0.3136
Total magnetization, Bohr magnetons per cell: 0.00
Total energy, eV per atom: -0.956

Cell lengths 4.9776, 4.9729, 8.6481 Å; angles 90.04, 90.00, 120.03 degrees
With the nearest neighbours (Å) after each atom.
Sites, in units of the cell vectors:
Rb (0.5000, 0.0000, 0.5000)  14 Cd 3.97-4.32
Cd (0.1665, 0.3331, 0.1810)  4 Cd 2.87-3.14
Cd (0.5000, 0.0000, 0.0000)  12 Cd 3.27-3.28
Cd (0.8335, 0.6669, 0.8190)  4 Cd 2.87-3.14
Cd (0.8330, 0.6659, 0.1819)  4 Cd 2.87-3.14
Cd (0.1670, 0.3341, 0.8181)  4 Cd 2.87-3.14



Material: CeLuZrTl
Method: DFT, GGA-PBE
State: optimized geometry

Computed properties:
DOS at the Fermi energy, states/eV per atom: 1.4679
Total magnetization, Bohr magnetons per cell: 0.00
Total energy, eV per atom: -5.292

Cell lengths 5.2872, 5.2872, 5.2872 Å; angles 60.00, 60.00, 60.00 degrees
With the nearest neighbours (Å) after each atom.
Sites, in units of the cell vectors:
Tl (0.7500, 0.7500, 0.7500)  4 Ce 3.24, 4 Lu 3.24
Lu (0.5000, 0.5000, 0.5000)  4 Tl 3.24, 4 Zr 3.24
Zr (0.2500, 0.2500, 0.2500)  4 Lu 3.24, 4 Ce 3.24
Ce (0.0000, 0.0000, 0.0000)  4 Zr 3.24, 4 Tl 3.24